! NaCa2TiC (PBEsol, optimized geometry); values from VASP
&SYSTEM
  ibrav = 0, nat = 5, ntyp = 4
/
ATOMIC_SPECIES
Na 22.99 Na.upf
Ti 47.87 Ti.upf
Ca 40.08 Ca.upf
C 12.01 C.upf
CELL_PARAMETERS angstrom
4.0019 0.0000 0.0000
0.0000 5.8937 0.0000
0.0000 0.0000 5.8937
ATOMIC_POSITIONS angstrom
Na 2.0009 2.9468 2.9468
Ti 0.0000 0.0000 0.0000
Ca 0.0000 0.0000 2.9468
Ca 0.0000 2.9468 0.0000
C 2.0009 0.0000 0.0000
! Total energy ... -3.891 eV/atom
! Calculated formation energy ... 403 kJ/mol of formula units